4
Lattice="5.2879 0.0000 0.0000 0.0000 5.2879 0.0000 0.0000 0.0000 3.8786" Properties=species:S:1:pos:R:3 comment="Er2MgSc PBE relaxed" space_group="P4/mmm (123)" m_tot_mub_per_fu=0.00 de_polymorph_ev_per_atom=0.0461 energy_ev_per_atom=-4.23 pbc="T T T"
Er 0.0000 2.6439 0.0000
Er 2.6439 0.0000 0.0000
Mg 0.0000 0.0000 1.9393
Sc 2.6439 2.6439 1.9393